No. 1
# LaHo2PbC (GGA-PBE, relaxed)
data_LaHo2PbC
_chemical_formula_sum 'La1 Ho2 Pb1 C1'
_symmetry_space_group_name_H-M 'P 1'
_symmetry_Int_Tables_number 1
_symmetry_space_group_name_Hall 'P 1'
_cell_length_a 5.208
_cell_length_b 4.936
_cell_length_c 4.936
_cell_angle_alpha 90.00
_cell_angle_beta 90.00
_cell_angle_gamma 90.00
loop_
_atom_site_label
_atom_site_type_symbol
_atom_site_fract_x
_atom_site_fract_y
_atom_site_fract_z
_atom_site_occupancy
La1 La 0.500 0.000 0.000 1
Ho1 Ho 0.000 0.000 0.500 1
Ho2 Ho 0.000 0.500 0.000 1
Pb1 Pb 0.500 0.500 0.500 1
C1 C 0.000 0.000 0.000 1
# Total magnetic moment ... 0.0 Bohr magnetons per cell
# Symmetry ... P4/mmm
# Calculated formation energy ... -475 meV/atom

---

No. 2
# MgAlBr2 (GGA-PBE, relaxed)
data_MgAlBr2
_chemical_formula_sum 'Mg1 Al1 Br2'
_symmetry_space_group_name_H-M 'P 1'
_symmetry_Int_Tables_number 1
_symmetry_space_group_name_Hall 'P 1'
_cell_length_a 7.662
_cell_length_b 7.662
_cell_length_c 7.662
_cell_angle_alpha 151.24
_cell_angle_beta 141.92
_cell_angle_gamma 48.41
loop_
_atom_site_label
_atom_site_type_symbol
_atom_site_fract_x
_atom_site_fract_y
_atom_site_fract_z
_atom_site_occupancy
Al1 Al 0.750 0.250 0.500 1
Br1 Br 0.116 0.116 0.000 1
Br2 Br 0.384 0.384 0.000 1
Mg1 Mg 0.250 0.750 0.500 1
# Total magnetic moment ... 0.0 Bohr magnetons per cell
# Symmetry ... Immm
# Uncorrected formation energy ... -515 meV/atom

---

What did the first record say?
# LaHo2PbC (GGA-PBE, relaxed)
data_LaHo2PbC
_chemical_formula_sum 'La1 Ho2 Pb1 C1'
_symmetry_space_group_name_H-M 'P 1'
_symmetry_Int_Tables_number 1
_symmetry_space_group_name_Hall 'P 1'
_cell_length_a 5.208
_cell_length_b 4.936
_cell_length_c 4.936
_cell_angle_alpha 90.00
_cell_angle_beta 90.00
_cell_angle_gamma 90.00
loop_
_atom_site_label
_atom_site_type_symbol
_atom_site_fract_x
_atom_site_fract_y
_atom_site_fract_z
_atom_site_occupancy
La1 La 0.500 0.000 0.000 1
Ho1 Ho 0.000 0.000 0.500 1
Ho2 Ho 0.000 0.500 0.000 1
Pb1 Pb 0.500 0.500 0.500 1
C1 C 0.000 0.000 0.000 1
# Total magnetic moment ... 0.0 Bohr magnetons per cell
# Symmetry ... P4/mmm
# Calculated formation energy ... -475 meV/atom

---

What is the formula in the second record?
MgAlBr2